# In2GaAu6

A relaxed structure of In2GaAu6 (PBE, the Alexandria database).

Properties
**ΔH_f (0 K)**: -0.85 eV/f.u.
**Theoretical density**: 12.42 g/cm³
**Space group**: P-3m1 (164)
**Calculated volume**: 198.0 Å³ per cell

a = 6.9470 Å, b = 5.7368 Å, c = 5.7368 Å
α = 60.00°, β = 90.01°, γ = 90.01°
Atoms (fractional coordinates):
Au 0.2935 0.8314 0.3376
Ga 0.0000 0.0000 0.0000
In 0.6884 0.6666 0.6666
Au 0.7065 0.6624 0.1686
Au 0.2935 0.3376 0.8314
In 0.3116 0.3334 0.3334
Au 0.2940 0.8315 0.8315
Au 0.7060 0.1685 0.1685
Au 0.7065 0.1686 0.6624

=====

# NaSnBr6

A relaxed structure of NaSnBr6 (PBE, the Alexandria database).

Properties
**Theoretical density**: 3.35 g/cm³
**Space group**: C2/m (12)
**Raw formation energy**: -5.44 eV per formula unit
**Calculated volume**: 307.9 Å³ per cell

a = 7.4100 Å, b = 6.9864 Å, c = 7.2868 Å
α = 61.35°, β = 79.86°, γ = 68.45°
Atoms (fractional coordinates):
Na 0.0000 0.0000 0.0000
Br 0.2500 0.8349 0.7102
Br 0.7500 0.4550 0.7102
Br 0.2500 0.5450 0.2898
Br 0.3426 0.1969 0.0000
Br 0.7500 0.1651 0.2898
Br 0.6574 0.8031 0.0000
Sn 0.5000 0.5000 0.0000

=====

# CaPm2Si6

A relaxed structure of CaPm2Si6 (PBE, the Alexandria database).

Properties
**Theoretical density**: 4.53 g/cm³
**Space group**: P6/mmm (191)
**Raw formation energy**: -4.32 eV per formula unit
**Calculated volume**: 182.8 Å³ per cell

a = 4.1591 Å, b = 7.1231 Å, c = 7.1232 Å
α = 120.00°, β = 90.00°, γ = 90.00°
Atoms (fractional coordinates):
Ca 0.0000 0.0000 0.0000
Si 0.5000 0.0000 0.6662
Pm 0.0000 0.3333 0.6667
Si 0.5000 0.3338 0.3338
Si 0.5000 0.6662 0.6662
Pm 0.0000 0.6667 0.3333
Si 0.5000 0.3338 0.0000
Si 0.5000 0.0000 0.3338
Si 0.5000 0.6662 0.0000

=====

# Fe3SiPt

A relaxed structure of Fe3SiPt (PBE, the Alexandria database).

Properties
**Theoretical density**: 6.39 g/cm³
**Space group**: Pm-3m (221)
**Raw formation energy**: 6.10 eV per formula unit
**Calculated volume**: 101.6 Å³ per cell

a = 4.6656 Å, b = 4.6656 Å, c = 4.6656 Å
α = 90.00°, β = 90.00°, γ = 90.00°
Atoms (fractional coordinates):
Si 0.5000 0.5000 0.5000
Fe 0.0000 0.5000 0.0000
Fe 0.0000 0.0000 0.5000
Fe 0.5000 0.0000 0.0000
Pt 0.0000 0.0000 0.0000

=====

# LaHSeN2

A relaxed structure of LaHSeN2 (PBE, the Alexandria database).

Properties
**Calculated total energy**: -4.32 eV per atom
**Theoretical density**: 3.29 g/cm³
**Space group**: P4/mmm (123)
**Calculated volume**: 124.7 Å³ per cell

a = 4.4164 Å, b = 4.4164 Å, c = 6.3909 Å
α = 90.00°, β = 90.00°, γ = 90.00°
Atoms (fractional coordinates):
N 0.5000 0.0000 0.0000
H 0.5000 0.5000 0.5000
Se 0.0000 0.0000 0.5000
La 0.0000 0.0000 0.0000
N 0.0000 0.5000 0.0000

=====

# CoNi2Cl6

A relaxed structure of CoNi2Cl6 (PBE, the Alexandria database).

Properties
**Theoretical density**: 3.20 g/cm³
**Space group**: C2/m (12)
**Raw formation energy**: -5.13 eV per formula unit
**Calculated volume**: 202.1 Å³ per cell

a = 3.4913 Å, b = 7.0345 Å, c = 9.1539 Å
α = 111.18°, β = 90.00°, γ = 104.37°
Atoms (fractional coordinates):
Cl 0.3670 0.7340 0.4434
Cl 0.7026 0.4053 0.1118
Co 0.0000 0.0000 0.5000
Cl 0.2973 0.5947 0.8882
Cl 0.9617 0.9235 0.2181
Cl 0.6330 0.2660 0.5566
Ni 0.3321 0.6642 0.1650
Cl 0.0382 0.0765 0.7819
Ni 0.6679 0.3358 0.8350

=====

Question: What is the calculated volume in the fourth record?
Answer: 101.6 Å³ per cell

=====

Copy entry 4 word for word.
# Fe3SiPt

A relaxed structure of Fe3SiPt (PBE, the Alexandria database).

Properties
**Theoretical density**: 6.39 g/cm³
**Space group**: Pm-3m (221)
**Raw formation energy**: 6.10 eV per formula unit
**Calculated volume**: 101.6 Å³ per cell

a = 4.6656 Å, b = 4.6656 Å, c = 4.6656 Å
α = 90.00°, β = 90.00°, γ = 90.00°
Atoms (fractional coordinates):
Si 0.5000 0.5000 0.5000
Fe 0.0000 0.5000 0.0000
Fe 0.0000 0.0000 0.5000
Fe 0.5000 0.0000 0.0000
Pt 0.0000 0.0000 0.0000

=====

Copy entry 5 word for word.
# LaHSeN2

A relaxed structure of LaHSeN2 (PBE, the Alexandria database).

Properties
**Calculated total energy**: -4.32 eV per atom
**Theoretical density**: 3.29 g/cm³
**Space group**: P4/mmm (123)
**Calculated volume**: 124.7 Å³ per cell

a = 4.4164 Å, b = 4.4164 Å, c = 6.3909 Å
α = 90.00°, β = 90.00°, γ = 90.00°
Atoms (fractional coordinates):
N 0.5000 0.0000 0.0000
H 0.5000 0.5000 0.5000
Se 0.0000 0.0000 0.5000
La 0.0000 0.0000 0.0000
N 0.0000 0.5000 0.0000